Crystalline La2InSnPd4 at its relaxed geometry. Source: the Open Quantum Materials Database, functional PBE.

## Properties
Space-group type: P-3m1, No. 164
Magnetization: 0.00 μB/f.u.
Final energy: -43.90 eV/cell

The structure in POSCAR format:
```
La2InSnPd4
1.0
4.618 0.000 0.000
-2.309 4.000 0.000
0.000 0.000 9.467
La In Sn Pd
2 1 1 4
Direct
0.333 0.667 0.249
0.667 0.333 0.751
0.000 0.000 0.500
0.000 0.000 0.000
0.333 0.667 0.580
0.333 0.667 0.918
0.667 0.333 0.082
0.667 0.333 0.420
```